No. 1
A relaxed structure of Ta4NiSN2. Source: the Open Quantum Materials Database, functional PBE-GGA.

Lattice parameters (Å, degrees): 3.1770 3.1770 12.1598 90.00 90.00 120.00
Closest atoms and distances in Å follow each position.
Sites, in units of the cell vectors:
1 Ta 0.3333 0.6667 0.1565  3 N 2.16
2 Ta 0.0000 0.0000 0.3501  3 N 2.20
3 Ta 0.0000 0.0000 0.6499  3 N 2.20
4 Ta 0.3333 0.6667 0.8435  3 N 2.16
5 N 0.6667 0.3333 0.2500  6 Ta 2.16-2.20
6 N 0.6667 0.3333 0.7500  6 Ta 2.16-2.20
7 S 0.3333 0.6667 0.5000  6 Ta 2.59
8 Ni 0.0000 0.0000 0.0000  6 Ta 2.64

Calculated values
total DFT energy (no corrections) = -78.50 eV for the cell shown
mass density = 13.16 g/cm³

No. 2
A relaxed structure of NaCu3OsS4. Source: the Open Quantum Materials Database, functional PBE-GGA.

Lattice parameters (Å, degrees): 5.6624 5.6624 5.6624 90.00 90.00 90.00
Closest atoms and distances in Å follow each position.
Sites, in units of the cell vectors:
1 S 0.2690 0.2690 0.2690  1 Os 2.27, 3 Cu 2.40
2 S 0.7310 0.7310 0.2690  1 Os 2.27, 3 Cu 2.40
3 S 0.2690 0.7310 0.7310  1 Os 2.27, 3 Cu 2.40
4 S 0.7310 0.2690 0.7310  1 Os 2.27, 3 Cu 2.40
5 Na 0.0000 0.0000 0.0000  4 S 2.64
6 Cu 0.0000 0.5000 0.5000  4 S 2.40
7 Cu 0.5000 0.5000 0.0000  4 S 2.40
8 Cu 0.5000 0.0000 0.5000  4 S 2.40
9 Os 0.5000 0.5000 0.5000  4 S 2.27

Calculated values
total DFT energy (no corrections) = -41.19 eV for the cell shown
mass density = 4.87 g/cm³

No. 3
A relaxed structure of GdNbNO. Source: the Open Quantum Materials Database, functional PBE-GGA.

Lattice parameters (Å, degrees): 4.7801 4.7801 4.5339 90.00 90.00 90.00
Closest atoms and distances in Å follow each position.
Sites, in units of the cell vectors:
1 Gd 0.7500 0.2500 0.5000  2 O 2.27, 4 N 2.39
2 Gd 0.2500 0.7500 0.5000  2 O 2.27, 4 N 2.39
3 O 0.7500 0.2500 0.0000  2 Gd 2.27, 4 Nb 2.39
4 O 0.2500 0.7500 0.0000  2 Gd 2.27, 4 Nb 2.39
5 Nb 0.2500 0.2500 0.0000  2 N 2.26-2.27, 4 O 2.39
6 Nb 0.7500 0.7500 0.0000  2 N 2.26-2.27, 4 O 2.39
7 N 0.2500 0.2500 0.5007  2 Nb 2.26-2.27, 4 Gd 2.39
8 N 0.7500 0.7500 0.4993  2 Nb 2.26-2.27, 4 Gd 2.39

Calculated values
mass density = 8.98 g/cm³
ΔE to the lowest computed polymorph = 0.881 eV/f.u.

No. 4
A relaxed structure of TaCdFePb. Source: the Open Quantum Materials Database, functional PBE-GGA.

Lattice parameters (Å, degrees): 4.7411 4.7411 4.7411 60.00 60.00 60.00
Closest atoms and distances in Å follow each position.
Sites, in units of the cell vectors:
1 Pb 0.0000 0.0000 0.0000  4 Ta 2.90, 4 Fe 2.90
2 Cd 0.5000 0.5000 0.5000  4 Fe 2.90, 4 Ta 2.90
3 Fe 0.7500 0.7500 0.7500  4 Cd 2.90, 4 Pb 2.90
4 Ta 0.2500 0.2500 0.2500  4 Cd 2.90, 4 Pb 2.90

Calculated values
mass density = 12.26 g/cm³
ΔE to the lowest computed polymorph = 0.087 eV/f.u.